(1)
La2Nd7In2 | Alexandria via LeMat-Bulk | PBE | optimized geometry; D(E_F) = 1.613 states/eV/atom; E_form = -44 meV/atom; symmetry = No. 12
1.0
4.615 -4.779 0.000
4.615 4.779 0.000
-2.482 0.000 8.531
La Nd In
2 7 2
direct
0.181 0.819 0.000
0.819 0.181 0.000
0.000 0.000 0.500
0.121 0.515 0.337
0.312 0.312 0.991
0.485 0.879 0.663
0.515 0.121 0.337
0.688 0.688 0.009
0.879 0.485 0.663
0.382 0.382 0.661
0.618 0.618 0.339

***

(2)
La7Nd2In2 | Alexandria via LeMat-Bulk | PBE | optimized geometry; D(E_F) = 1.641 states/eV/atom; E_form = 121 meV/atom; symmetry = No. 65
1.0
3.477 -6.100 0.000
3.477 6.100 0.000
0.000 0.000 9.342
La Nd In
7 2 2
direct
0.000 0.000 0.000
0.000 0.500 0.329
0.000 0.500 0.671
0.500 0.000 0.329
0.500 0.000 0.671
0.500 0.500 0.198
0.500 0.500 0.802
0.270 0.730 0.000
0.730 0.270 0.000
0.217 0.217 0.500
0.783 0.783 0.500

***

Electronic total energy: -4.472, -4.380 (eV per atom)